Cs3VPd | PBE-GGA | optimized geometry

CIF file:
```
data_Cs3VPd
_symmetry_space_group_name_H-M 'P m -3 m'
_symmetry_Int_Tables_number 221
_symmetry_space_group_name_Hall '-P 4 2 3'
_cell_length_a 6.669
_cell_length_b 6.669
_cell_length_c 6.669
_cell_angle_alpha 90.00
_cell_angle_beta 90.00
_cell_angle_gamma 90.00
loop_
_atom_site_label
_atom_site_type_symbol
_atom_site_fract_x
_atom_site_fract_y
_atom_site_fract_z
_atom_site_occupancy
Cs1 Cs 0.000 0.000 0.500 1
V1 V 0.500 0.500 0.500 1
Pd1 Pd 0.000 0.000 0.000 1
```

Output
Formation energy from the elements in eV per atom: 0.8354
Energy above the most stable polymorph in this dataset in meV per atom: 0

PmPuTeP | PBE-GGA | optimized geometry

CIF file:
```
data_PmPuTeP
_symmetry_space_group_name_H-M 'R 3 m'
_symmetry_Int_Tables_number 160
_symmetry_space_group_name_Hall 'R 3 -2"'
_cell_length_a 4.2136
_cell_length_b 4.2136
_cell_length_c 21.3788
_cell_angle_alpha 90.00
_cell_angle_beta 90.00
_cell_angle_gamma 120.00
loop_
_atom_site_label
_atom_site_type_symbol
_atom_site_fract_x
_atom_site_fract_y
_atom_site_fract_z
_atom_site_occupancy
Pm1 Pm 0.0000 0.0000 0.0000 1
Pu1 Pu 0.0000 0.0000 0.4775 1
Te1 Te 0.0000 0.0000 0.2368 1
P1 P 0.0000 0.0000 0.7409 1
```

Output
Uncorrected formation energy in eV per formula unit: -5.4

Ac3Mg4Zn2 | PBE-GGA | optimized geometry

CIF file:
```
data_Ac3Mg4Zn2
_symmetry_space_group_name_H-M 'C 1 2/m 1'
_symmetry_Int_Tables_number 12
_cell_length_a 11.784
_cell_length_b 5.170
_cell_length_c 9.660
_cell_angle_alpha 90.00
_cell_angle_beta 117.04
_cell_angle_gamma 90.00
loop_
_symmetry_equiv_pos_as_xyz
'x,y,z'
'-x,-y,-z'
'-x,y,-z'
'x,-y,z'
'x+1/2,y+1/2,z'
'-x+1/2,-y+1/2,-z'
'-x+1/2,y+1/2,-z'
'x+1/2,-y+1/2,z'
loop_
_atom_site_label
_atom_site_type_symbol
_atom_site_fract_x
_atom_site_fract_y
_atom_site_fract_z
_atom_site_occupancy
Ac1 Ac 0.000 0.000 0.000 1
Ac2 Ac 0.179 0.500 0.647 1
Mg1 Mg 0.024 0.000 0.358 1
Mg2 Mg 0.214 0.500 0.053 1
Zn1 Zn 0.081 0.500 0.254 1
```

Output
Formation energy from the elements in eV per atom: -0.1134
Energy above the most stable polymorph in this dataset in meV per atom: 0

U3Si3Pt2 | PBE-GGA | optimized geometry

CIF file:
```
data_U3Si3Pt2
_symmetry_space_group_name_H-M 'C m c m'
_symmetry_Int_Tables_number 63
_symmetry_space_group_name_Hall '-C 2c 2'
_cell_length_a 4.294
_cell_length_b 10.195
_cell_length_c 13.860
_cell_angle_alpha 90.00
_cell_angle_beta 90.00
_cell_angle_gamma 90.00
loop_
_atom_site_label
_atom_site_type_symbol
_atom_site_fract_x
_atom_site_fract_y
_atom_site_fract_z
_atom_site_occupancy
U1 U 0.000 0.078 0.116 1
U2 U 0.000 0.354 0.250 1
Si1 Si 0.000 0.356 0.750 1
Si2 Si 0.000 0.391 0.038 1
Pt1 Pt 0.000 0.211 0.599 1
```

Output
Uncorrected formation energy in eV per formula unit: -4.8

Sb2PBr | PBE-GGA | optimized geometry

CIF file:
```
data_Sb2PBr
_symmetry_space_group_name_H-M 'I -4 m 2'
_symmetry_Int_Tables_number 119
_symmetry_space_group_name_Hall 'I -4 -2'
_cell_length_a 4.069
_cell_length_b 4.069
_cell_length_c 12.436
_cell_angle_alpha 90.00
_cell_angle_beta 90.00
_cell_angle_gamma 90.00
loop_
_atom_site_label
_atom_site_type_symbol
_atom_site_fract_x
_atom_site_fract_y
_atom_site_fract_z
_atom_site_occupancy
Sb1 Sb 0.000 0.000 0.000 1
Sb2 Sb 0.000 0.500 0.250 1
P1 P 0.000 0.000 0.500 1
Br1 Br 0.000 0.500 0.750 1
```

Output
Uncorrected formation energy in eV per formula unit: 1.9
Energy above the most stable polymorph in this dataset in meV per atom: 480

BaYTa2 | PBE-GGA | optimized geometry

CIF file:
```
data_BaYTa2
_symmetry_space_group_name_H-M 'F -4 3 m'
_symmetry_Int_Tables_number 216
_symmetry_space_group_name_Hall 'F -4 2 3'
_cell_length_a 7.369
_cell_length_b 7.369
_cell_length_c 7.369
_cell_angle_alpha 90.00
_cell_angle_beta 90.00
_cell_angle_gamma 90.00
loop_
_atom_site_label
_atom_site_type_symbol
_atom_site_fract_x
_atom_site_fract_y
_atom_site_fract_z
_atom_site_occupancy
Ba1 Ba 0.000 0.000 0.000 1
Y1 Y 0.250 0.250 0.250 1
Ta1 Ta 0.000 0.000 0.500 1
Ta2 Ta 0.250 0.250 0.750 1
```

Output
Formation energy from the elements in eV per atom: 1.0010
Energy above the most stable polymorph in this dataset in meV per atom: 570

ZnReAg4 | PBE-GGA | optimized geometry

CIF file:
```
data_ZnReAg4
_symmetry_space_group_name_H-M 'F -4 3 m'
_symmetry_Int_Tables_number 216
_symmetry_space_group_name_Hall 'F -4 2 3'
_cell_length_a 7.582
_cell_length_b 7.582
_cell_length_c 7.582
_cell_angle_alpha 90.00
_cell_angle_beta 90.00
_cell_angle_gamma 90.00
loop_
_atom_site_label
_atom_site_type_symbol
_atom_site_fract_x
_atom_site_fract_y
_atom_site_fract_z
_atom_site_occupancy
Zn1 Zn 0.000 0.000 0.000 1
Re1 Re 0.250 0.250 0.250 1
Ag1 Ag 0.125 0.125 0.625 1
```

Output
Formation energy from the elements in eV per atom: 0.8250

CrNi2Te4 | PBE-GGA | optimized geometry

CIF file:
```
data_CrNi2Te4
_symmetry_space_group_name_H-M 'P 1 2/m 1'
_symmetry_Int_Tables_number 10
_cell_length_a 6.604
_cell_length_b 3.875
_cell_length_c 6.667
_cell_angle_alpha 90.00
_cell_angle_beta 109.29
_cell_angle_gamma 90.00
loop_
_symmetry_equiv_pos_as_xyz
'x,y,z'
'-x,-y,-z'
'-x,y,-z'
'x,-y,z'
loop_
_atom_site_label
_atom_site_type_symbol
_atom_site_fract_x
_atom_site_fract_y
_atom_site_fract_z
_atom_site_occupancy
Cr1 Cr 0.000 0.000 0.000 1
Ni1 Ni 0.500 0.000 0.500 1
Ni2 Ni 0.500 0.500 0.000 1
Te1 Te 0.267 0.500 0.249 1
Te2 Te 0.280 0.000 0.768 1
```

Output
Uncorrected formation energy in eV per formula unit: -0.4

Dy2Ni3Ge4Rh | PBE-GGA | optimized geometry

CIF file:
```
data_Dy2Ni3Ge4Rh
_symmetry_space_group_name_H-M 'P -4 m 2'
_symmetry_Int_Tables_number 115
_cell_length_a 4.079
_cell_length_b 4.079
_cell_length_c 9.890
_cell_angle_alpha 90.00
_cell_angle_beta 90.00
_cell_angle_gamma 90.00
loop_
_symmetry_equiv_pos_as_xyz
'x,y,z'
'y,-x,-z'
'-x,-y,z'
'-y,x,-z'
'-x,y,z'
'-y,-x,-z'
'x,-y,z'
'y,x,-z'
loop_
_atom_site_label
_atom_site_type_symbol
_atom_site_fract_x
_atom_site_fract_y
_atom_site_fract_z
_atom_site_occupancy
Dy1 Dy 0.000 0.500 0.244 1
Ni1 Ni 0.000 0.500 0.875 1
Ni2 Ni 0.500 0.500 0.500 1
Ge1 Ge 0.000 0.000 0.000 1
Ge2 Ge 0.000 0.500 0.639 1
Ge3 Ge 0.500 0.500 0.000 1
Rh1 Rh 0.000 0.000 0.500 1
```

Output
Formation energy from the elements in eV per atom: -0.7374

TlMo2Rh | PBE-GGA | optimized geometry

CIF file:
```
data_TlMo2Rh
_symmetry_space_group_name_H-M 'C 1 2/m 1'
_symmetry_Int_Tables_number 12
_cell_length_a 5.334
_cell_length_b 8.871
_cell_length_c 2.851
_cell_angle_alpha 90.00
_cell_angle_beta 90.17
_cell_angle_gamma 90.00
loop_
_symmetry_equiv_pos_as_xyz
'x,y,z'
'-x,-y,-z'
'-x,y,-z'
'x,-y,z'
'x+1/2,y+1/2,z'
'-x+1/2,-y+1/2,-z'
'-x+1/2,y+1/2,-z'
'x+1/2,-y+1/2,z'
loop_
_atom_site_label
_atom_site_type_symbol
_atom_site_fract_x
_atom_site_fract_y
_atom_site_fract_z
_atom_site_occupancy
Tl1 Tl 0.000 0.000 0.000 1
Mo1 Mo 0.250 0.250 0.500 1
Rh1 Rh 0.000 0.500 0.000 1
```

Output
Formation energy from the elements in eV per atom: 0.4600
Energy above the most stable polymorph in this dataset in meV per atom: 162

NiP2Cl | PBE-GGA | optimized geometry

CIF file:
```
data_NiP2Cl
_symmetry_space_group_name_H-M 'P 4/m m m'
_symmetry_Int_Tables_number 123
_symmetry_space_group_name_Hall '-P 4 2'
_cell_length_a 2.956
_cell_length_b 2.956
_cell_length_c 8.128
_cell_angle_alpha 90.00
_cell_angle_beta 90.00
_cell_angle_gamma 90.00
loop_
_atom_site_label
_atom_site_type_symbol
_atom_site_fract_x
_atom_site_fract_y
_atom_site_fract_z
_atom_site_occupancy
Ni1 Ni 0.000 0.000 0.000 1
P1 P 0.500 0.500 0.146 1
Cl1 Cl 0.000 0.000 0.500 1
```

Output
Uncorrected formation energy in eV per formula unit: 0.7
Energy above the most stable polymorph in this dataset in meV per atom: 399

CaAc2Sm3Te6 | PBE-GGA | optimized geometry

CIF file:
```
data_CaAc2Sm3Te6
_symmetry_space_group_name_H-M 'C 1 2/m 1'
_symmetry_Int_Tables_number 12
_cell_length_a 19.870
_cell_length_b 4.519
_cell_length_c 9.177
_cell_angle_alpha 90.00
_cell_angle_beta 103.47
_cell_angle_gamma 90.00
loop_
_symmetry_equiv_pos_as_xyz
'x,y,z'
'-x,-y,-z'
'-x,y,-z'
'x,-y,z'
'x+1/2,y+1/2,z'
'-x+1/2,-y+1/2,-z'
'-x+1/2,y+1/2,-z'
'x+1/2,-y+1/2,z'
loop_
_atom_site_label
_atom_site_type_symbol
_atom_site_fract_x
_atom_site_fract_y
_atom_site_fract_z
_atom_site_occupancy
Ca1 Ca 0.000 0.000 0.000 1
Ac1 Ac 0.168 0.500 0.335 1
Sm1 Sm 0.000 0.000 0.500 1
Sm2 Sm 0.172 0.500 0.833 1
Te1 Te 0.005 0.500 0.753 1
Te2 Te 0.161 0.000 0.593 1
Te3 Te 0.163 0.000 0.068 1
```

Output
Uncorrected formation energy in eV per formula unit: -17.4

Density of states at the Fermi level values, unit states/eV/f.u., following the record order: 13.89; 10.59; 9.27; 14.45; 3.05; 6.24; 2.59; 5.96; 5.46; 3.73; 3.18; 5.62.